(1)
FeAsN3 | GGA-PBE | relaxed

Results
Spin magnetization (μB/cell): 0.00
Calculated total energy (eV/atom): -5.787

a b c (Å): 3.668 3.668 3.668
angles (deg): 90.00 90.00 90.00
Fractional positions:
N1 0.000 0.500 0.000
N2 0.000 0.000 0.500
N3 0.500 0.000 0.000
As1 0.000 0.000 0.000
Fe1 0.500 0.500 0.500

=====

(2)
La2MgPb | GGA-PBE | relaxed

Results
Spin magnetization (μB/cell): 0.83
ΔE_f (eV per atom): -0.004
Calculated total energy (eV/atom): -3.793

a b c (Å): 5.578 5.578 5.578
angles (deg): 60.00 60.00 60.00
Last column: magnetic moment on the atom in μB.
Fractional positions:
Mg1 0.500 0.500 0.500  0.01
La1 0.000 0.000 0.000  0.17
La2 0.250 0.250 0.250  0.19
Pb1 0.750 0.750 0.750  0.00

=====

(3)
TcB2SN | GGA-PBE | relaxed

Results
Spin magnetization (μB/cell): 0.00
Calculated total energy (eV/atom): -5.415

a b c (Å): 3.821 3.468 3.821
angles (deg): 90.00 90.00 90.00
Fractional positions:
B1 0.000 0.000 0.500
B2 0.500 0.000 0.000
Tc1 0.500 0.500 0.500
N1 0.000 0.500 0.000
S1 0.000 0.000 0.000

=====

(4)
LiMg2Cr | GGA-PBE | relaxed

Results
Spin magnetization (μB/cell): 3.89
ΔE_f (eV per atom): 0.316
Calculated total energy (eV/atom): -3.365

a b c (Å): 9.982 9.982 9.982
angles (deg): 17.60 17.60 17.60
Last column: magnetic moment on the atom in μB.
Fractional positions:
Li1 0.250 0.250 0.250  -0.02
Cr1 0.750 0.750 0.750  3.51
Mg1 0.002 0.002 0.002  -0.01
Mg2 0.498 0.498 0.498  -0.01

=====

(5)
Pm6Dy16Tm7 | GGA-PBE | relaxed

Results
Spin magnetization (μB/cell): 6.05
ΔE_f (eV per atom): 0.232
Calculated total energy (eV/atom): -4.369

a b c (Å): 11.109 11.109 11.109
angles (deg): 60.00 60.00 60.00
Last column: magnetic moment on the atom in μB.
Fractional positions:
Tm1 0.500 0.500 0.000  0.06
Tm2 0.500 0.000 0.500  0.06
Tm3 0.500 0.000 0.000  0.06
Tm4 0.000 0.500 0.000  0.06
Tm5 0.000 0.000 0.000  0.00
Tm6 0.000 0.500 0.500  0.06
Tm7 0.000 0.000 0.500  0.06
Dy1 0.346 0.346 0.346  0.17
Dy2 0.654 0.039 0.654  0.17
Dy3 0.878 0.367 0.878  0.08
Dy4 0.961 0.346 0.346  0.17
Dy5 0.367 0.878 0.878  0.08
Dy6 0.122 0.122 0.122  0.08
Dy7 0.039 0.654 0.654  0.17
Dy8 0.878 0.878 0.367  0.08
Dy9 0.633 0.122 0.122  0.08
Dy10 0.878 0.878 0.878  0.08
Dy11 0.122 0.122 0.633  0.08
Dy12 0.654 0.654 0.654  0.17
Dy13 0.346 0.346 0.961  0.17
Dy14 0.654 0.654 0.039  0.17
Dy15 0.122 0.633 0.122  0.08
Dy16 0.346 0.961 0.346  0.17
Pm1 0.284 0.716 0.716  0.20
Pm2 0.284 0.716 0.284  0.20
Pm3 0.716 0.284 0.284  0.20
Pm4 0.284 0.284 0.716  0.20
Pm5 0.716 0.716 0.284  0.20
Pm6 0.716 0.284 0.716  0.20

=====

(6)
LiAgHgBi | GGA-PBE | relaxed

Results
Spin magnetization (μB/cell): 0.00
ΔE to the lowest computed polymorph (meV per atom): 0
ΔE_f (eV per atom): -0.126
Calculated total energy (eV/atom): -2.363

a b c (Å): 4.665 4.670 5.253
angles (deg): 116.62 116.36 90.00
Fractional positions:
Li1 0.000 0.999 0.000
Hg1 0.750 0.250 0.500
Bi1 0.250 0.750 0.500
Ag1 0.500 0.501 0.000

=====

(7)
Cu12H5Pd3 | GGA-PBE | relaxed

Results
Spin magnetization (μB/cell): 0.00
Calculated total energy (eV/atom): -3.858

a b c (Å): 10.512 10.512 10.512
angles (deg): 109.47 109.47 109.47
Fractional positions:
H1 0.750 0.625 0.375
H2 0.375 0.125 0.750
H3 0.125 0.375 0.250
H4 0.000 0.000 0.500
H5 0.875 0.625 0.750
H6 0.625 0.875 0.250
H7 0.000 0.000 0.000
H8 0.000 0.500 0.500
H9 0.375 0.250 0.125
H10 0.750 0.125 0.875
H11 0.250 0.375 0.625
H12 0.625 0.750 0.875
H13 0.250 0.875 0.125
H14 0.000 0.500 0.000
H15 0.875 0.250 0.625
H16 0.500 0.000 0.000
H17 0.500 0.500 0.000
H18 0.500 0.000 0.500
H19 0.125 0.750 0.375
H20 0.500 0.500 0.500
Cu1 0.596 0.687 0.691
Cu2 0.004 0.409 0.313
Cu3 0.405 0.409 0.596
Cu4 0.591 0.996 0.187
Cu5 0.596 0.909 0.405
Cu6 0.813 0.309 0.904
Cu7 0.004 0.595 0.191
Cu8 0.404 0.313 0.309
Cu9 0.809 0.904 0.313
Cu10 0.591 0.595 0.904
Cu11 0.091 0.404 0.095
Cu12 0.409 0.004 0.813
Cu13 0.687 0.091 0.996
Cu14 0.504 0.691 0.095
Cu15 0.409 0.405 0.096
Cu16 0.095 0.191 0.504
Cu17 0.404 0.091 0.595
Cu18 0.909 0.313 0.504
Cu19 0.091 0.687 0.496
Cu20 0.595 0.591 0.404
Cu21 0.496 0.187 0.091
Cu22 0.405 0.996 0.309
Cu23 0.809 0.905 0.996
Cu24 0.313 0.909 0.004
Cu25 0.191 0.095 0.004
Cu26 0.996 0.405 0.809
Cu27 0.096 0.905 0.409
Cu28 0.996 0.591 0.687
Cu29 0.909 0.596 0.905
Cu30 0.905 0.096 0.909
Cu31 0.691 0.187 0.596
Cu32 0.905 0.809 0.496
Cu33 0.904 0.809 0.813
Cu34 0.191 0.096 0.687
Cu35 0.496 0.309 0.905
Cu36 0.687 0.596 0.191
Cu37 0.096 0.191 0.187
Cu38 0.904 0.095 0.591
Cu39 0.595 0.004 0.691
Cu40 0.095 0.904 0.091
Cu41 0.504 0.813 0.909
Cu42 0.313 0.404 0.809
Cu43 0.187 0.496 0.591
Cu44 0.309 0.813 0.404
Cu45 0.813 0.504 0.409
Cu46 0.309 0.496 0.405
Cu47 0.187 0.691 0.096
Cu48 0.691 0.504 0.595
Pd1 0.750 0.875 0.625
Pd2 0.625 0.375 0.750
Pd3 0.375 0.625 0.250
Pd4 0.125 0.250 0.875
Pd5 0.875 0.125 0.250
Pd6 0.250 0.125 0.375
Pd7 0.625 0.250 0.375
Pd8 0.875 0.750 0.125
Pd9 0.375 0.750 0.625
Pd10 0.750 0.375 0.125
Pd11 0.125 0.875 0.750
Pd12 0.250 0.625 0.875

=====

(8)
CaAcSb2Pd2 | GGA-PBE | relaxed

Results
Spin magnetization (μB/cell): 0.00
Calculated total energy (eV/atom): -5.127

a b c (Å): 4.611 4.611 8.519
angles (deg): 90.00 90.00 120.00
Fractional positions:
Pd1 0.333 0.667 0.733
Pd2 0.667 0.333 0.267
Sb1 0.667 0.333 0.740
Sb2 0.333 0.667 0.260
Ac1 0.000 0.000 0.000
Ca1 0.000 0.000 0.500

=====

(9)
Dy4YAs5 | GGA-PBE | relaxed

Results
Spin magnetization (μB/cell): 0.00
ΔE_f (eV per atom): -1.542
Calculated total energy (eV/atom): -6.354

a b c (Å): 5.826 7.137 7.137
angles (deg): 80.41 65.91 65.91
Fractional positions:
Dy1 0.601 0.600 0.200
Dy2 0.201 0.200 0.400
Dy3 0.401 0.400 0.800
Dy4 0.801 0.800 0.600
Y1 0.001 0.000 0.000
As1 0.301 0.800 0.599
As2 0.701 0.200 0.401
As3 0.101 0.599 0.200
As4 0.901 0.401 0.800
As5 0.501 0.000 0.000

=====

(10)
ScBe2Cr | GGA-PBE | relaxed

Results
Spin magnetization (μB/cell): 5.28
ΔE to the lowest computed polymorph (meV per atom): 594
ΔE_f (eV per atom): 0.638
Calculated total energy (eV/atom): -5.214

a b c (Å): 3.970 3.970 8.601
angles (deg): 76.66 76.66 90.00
Last column: magnetic moment on the atom in μB.
Fractional positions:
Sc1 0.500 0.500 0.000  -0.04
Sc2 0.250 0.750 0.500  -0.04
Cr1 0.000 0.000 0.000  2.58
Cr2 0.750 0.250 0.500  2.58
Be1 0.886 0.625 0.250  -0.03
Be2 0.375 0.136 0.750  -0.02
Be3 0.864 0.125 0.250  -0.03
Be4 0.875 0.114 0.750  -0.02

=====

(11)
Li3LaTl2 | GGA-PBE | relaxed

Results
Spin magnetization (μB/cell): 0.00
ΔE_f (eV per atom): -0.270
Calculated total energy (eV/atom): -2.837

a b c (Å): 4.669 7.785 9.364
angles (deg): 118.21 90.00 107.45
Fractional positions:
Li1 0.946 0.892 0.596
Li2 0.054 0.108 0.404
Li3 0.408 0.816 0.327
Li4 0.248 0.497 0.421
Li5 0.752 0.503 0.579
Li6 0.592 0.184 0.673
Tl1 0.433 0.866 0.772
Tl2 0.787 0.575 0.263
Tl3 0.567 0.134 0.228
Tl4 0.213 0.425 0.737
La1 0.127 0.253 0.999
La2 0.873 0.747 0.001

=====

(12)
Sr2NbSi2 | GGA-PBE | relaxed

Results
Spin magnetization (μB/cell): 3.74
ΔE to the lowest computed polymorph (meV per atom): 669
Calculated total energy (eV/atom): -4.216

a b c (Å): 8.966 8.966 3.166
angles (deg): 90.00 90.00 90.00
Last column: magnetic moment on the atom in μB.
Fractional positions:
Sr1 0.374 0.874 0.000  0.02
Sr2 0.874 0.626 0.000  0.02
Sr3 0.626 0.126 0.000  0.02
Sr4 0.126 0.374 0.000  0.02
Nb1 0.500 0.500 0.000  1.56
Nb2 0.000 0.000 0.000  1.56
Si1 0.825 0.325 0.500  -0.04
Si2 0.675 0.825 0.500  -0.04
Si3 0.325 0.175 0.500  -0.04
Si4 0.175 0.675 0.500  -0.04

=====

(13)
Pr2Er7In2 | GGA-PBE | relaxed

Results
Spin magnetization (μB/cell): 0.00
ΔE_f (eV per atom): 0.144
Calculated total energy (eV/atom): -4.127

a b c (Å): 6.738 9.068 6.738
angles (deg): 90.00 120.42 90.00
Fractional positions:
Pr1 0.763 0.500 0.763
Pr2 0.237 0.500 0.237
Er1 0.000 0.705 0.500
Er2 0.500 0.183 0.500
Er3 0.500 0.705 0.000
Er4 0.500 0.817 0.500
Er5 0.500 0.295 0.000
Er6 0.000 0.000 0.000
Er7 0.000 0.295 0.500
In1 0.729 0.000 0.271
In2 0.271 0.000 0.729

=====

(14)
LaRe3Pb | GGA-PBE | relaxed

Results
Spin magnetization (μB/cell): 3.05
ΔE to the lowest computed polymorph (meV per atom): 496
ΔE_f (eV per atom): 2.809
Calculated total energy (eV/atom): -6.387

a b c (Å): 4.952 4.952 4.952
angles (deg): 90.00 90.00 90.00
Last column: magnetic moment on the atom in μB.
Fractional positions:
Re1 0.000 0.000 0.500  0.96
Re2 0.500 0.000 0.000  0.88
Re3 0.000 0.500 0.000  0.86
Pb1 0.500 0.500 0.500  -0.01
La1 0.000 0.000 0.000  0.04